Compound: PrY4In
Source: Alexandria via LeMat-Bulk
Functional: PBE
Structure: relaxed

Structure (CIF):
```
data_PrY4In
_space_group_name_H-M_alt 'P 1'
_space_group_IT_number 1
_space_group_name_Hall 'P 1'
_cell_length_a 3.6239
_cell_length_b 3.6239
_cell_length_c 14.3341
_cell_angle_alpha 90.00
_cell_angle_beta 90.00
_cell_angle_gamma 90.00
loop_
_atom_site_label
_atom_site_type_symbol
_atom_site_fract_x
_atom_site_fract_y
_atom_site_fract_z
Y1 Y 0.0000 0.0000 0.3567
Y2 Y 0.5000 0.5000 0.8202
Y3 Y 0.0000 0.0000 0.6433
Y4 Y 0.5000 0.5000 0.1798
In1 In 0.5000 0.5000 0.5000
Pr1 Pr 0.0000 0.0000 0.0000
```

- Energy: -5.724 eV/atom
- Energy above the lowest structure with this stoichiometry: 0 meV/atom
- DFT formation energy: -0.161 eV/atom
- Fermi-level density of states: 1.200 states/eV per atom